# BaSiW

BaSiW after structural relaxation (PBE-GGA, Alexandria).

Unit cell a=6.5242 b=6.5241 c=3.4586 alpha=74.63 beta=74.63 gamma=30.74
Fractional positions:
Si 0.2729 0.2729 0.7271
Ba 0.0042 0.0042 0.9958
W 0.7229 0.7229 0.2771

Calculated values
DOS(E_F): 0.57 states/eV per atom
Formation energy without anion corrections: 384 meV per atom
Total moment: 0.00 μB/f.u.
SG: I4mm